Computed, not measured: RbPuFeO6 after structural relaxation at the PBE with a Hubbard U level of DFT.

Summary:
symmetry	C2
electronic total energy	-0.54032	Ry per atom

abc: 5.2426 5.2426 6.4399
angles: 90.04 90.04 119.98
Last column: nearest neighbours and their distance in Å.
Fractional positions:
Rb (0.0000, 0.0000, 0.0000)  6 O 2.90-2.91
Pu (0.3334, 0.6666, 0.5000)  6 O 2.01
Fe (0.6668, 0.3332, 0.5000)  6 O 1.93
O (0.3803, 0.3683, 0.3322)  1 Fe 1.93, 1 Pu 2.01
O (0.3811, 0.0121, 0.6679)  1 Fe 1.93, 1 Pu 2.01
O (0.6308, 0.0113, 0.3322)  1 Fe 1.93, 1 Pu 2.01
O (0.6317, 0.6197, 0.6678)  1 Fe 1.93, 1 Pu 2.01
O (0.9879, 0.6189, 0.3321)  1 Fe 1.93, 1 Pu 2.01
O (0.9887, 0.3692, 0.6678)  1 Fe 1.93, 1 Pu 2.01